Entry from the Alexandria database: a relaxed InGe2W2 crystal (GGA-PBE).

abc: 7.295 7.295 3.285
angles: 90.00 90.00 90.00
Atoms (fractional coordinates):
In (0.000, 0.000, 0.000)
In (0.500, 0.500, 0.000)
Ge (0.152, 0.348, 0.500)
Ge (0.348, 0.848, 0.500)
Ge (0.652, 0.152, 0.500)
Ge (0.848, 0.652, 0.500)
W (0.138, 0.638, 0.000)
W (0.362, 0.138, 0.000)
W (0.638, 0.862, 0.000)
W (0.862, 0.362, 0.000)

Output
- total energy (Ry per atom) = -0.530
- formation energy (kcal/mol of atoms) = 8.3
- space group = P4/mbm
- crystal system = tetragonal

---

Entry from the Alexandria database: a relaxed BaMg2As2 crystal (GGA-PBE).

abc: 8.465 8.465 3.516
angles: 90.00 90.00 90.00
Atoms (fractional coordinates):
Ba (0.000, 0.000, 0.000)
Ba (0.500, 0.500, 0.000)
Mg (0.130, 0.370, 0.500)
Mg (0.370, 0.870, 0.500)
Mg (0.630, 0.130, 0.500)
Mg (0.870, 0.630, 0.500)
As (0.154, 0.654, 0.000)
As (0.346, 0.154, 0.000)
As (0.654, 0.846, 0.000)
As (0.846, 0.346, 0.000)

Output
- total energy (Ry per atom) = -0.244
- formation energy (kcal/mol of atoms) = -9.9
- space group = P4/mbm
- crystal system = tetragonal

---

Entry from the Alexandria database: a relaxed MgBe2Mo crystal (GGA-PBE).

abc: 4.794 4.794 4.412
angles: 108.10 108.10 32.30
Atoms (fractional coordinates):
Mg (0.000, 0.000, 0.000)
Be (0.243, 0.243, 0.824)
Be (0.547, 0.547, 0.517)
Mo (0.787, 0.787, 0.359)

Output
- total energy (Ry per atom) = -0.350
- formation energy (kcal/mol of atoms) = 4.9
- space group = Cm
- crystal system = monoclinic

---

Entry from the Alexandria database: a relaxed RbSrTc2O7 crystal (GGA-PBE).

abc: 11.746 11.746 11.746
angles: 160.81 160.81 27.27
Atoms (fractional coordinates):
Rb (0.000, 0.000, 0.000)
Sr (0.250, 0.750, 0.500)
Tc (0.660, 0.160, 0.500)
Tc (0.840, 0.340, 0.500)
O (0.167, 0.167, 0.000)
O (0.332, 0.332, 0.000)
O (0.582, 0.082, 0.500)
O (0.668, 0.668, 0.000)
O (0.750, 0.250, 0.500)
O (0.833, 0.833, 0.000)
O (0.918, 0.418, 0.500)

Output
- formation energy from raw total energies (eV/atom) = -1.732
- total energy (Ry per atom) = -0.515
- space group = I-4m2
- crystal system = tetragonal

---

Entry from the Alexandria database: a relaxed Ac3La2Pr2 crystal (GGA-PBE).

abc: 13.125 13.125 3.801
angles: 90.00 90.00 154.64
Atoms (fractional coordinates):
Ac (0.000, 0.000, 0.000)
Ac (0.151, 0.849, 0.000)
Ac (0.849, 0.151, 0.000)
La (0.427, 0.573, 0.500)
La (0.573, 0.427, 0.500)
Pr (0.285, 0.715, 0.500)
Pr (0.715, 0.285, 0.500)

Output
- offset from the most stable computed form (meV/atom) = 0
- total energy (Ry per atom) = -0.331
- formation energy (kcal/mol of atoms) = 0.6
- space group = Cmmm
- crystal system = orthorhombic

---

Entry from the Alexandria database: a relaxed Ag3As4 crystal (GGA-PBE).

abc: 5.564 5.564 5.178
angles: 90.00 90.00 120.00
Atoms (fractional coordinates):
Ag (0.000, 0.500, 0.000)
Ag (0.500, 0.000, 0.000)
Ag (0.500, 0.500, 0.000)
As (0.000, 0.000, 0.245)
As (0.000, 0.000, 0.755)
As (0.333, 0.667, 0.500)
As (0.667, 0.333, 0.500)

Output
- offset from the most stable computed form (meV/atom) = 164
- total energy (Ry per atom) = -0.255
- formation energy (kcal/mol of atoms) = 9.4
- space group = P6/mmm
- crystal system = hexagonal

---

Entry from the Alexandria database: a relaxed Na4Ce2Cl9 crystal (GGA-PBE).

abc: 7.186 7.188 19.301
angles: 89.97 89.95 60.03
Atoms (fractional coordinates):
Na (0.166, 0.166, 0.485)
Na (0.166, 0.167, 0.677)
Na (0.167, 0.166, 0.985)
Na (0.168, 0.166, 0.178)
Na (0.832, 0.834, 0.822)
Na (0.833, 0.834, 0.015)
Na (0.834, 0.833, 0.323)
Na (0.834, 0.834, 0.515)
Ce (0.499, 0.502, 0.654)
Ce (0.500, 0.499, 0.846)
Ce (0.500, 0.501, 0.154)
Ce (0.501, 0.498, 0.346)
Cl (0.143, 0.528, 0.916)
Cl (0.145, 0.829, 0.415)
Cl (0.170, 0.475, 0.585)
Cl (0.171, 0.858, 0.085)
Cl (0.192, 0.500, 0.250)
Cl (0.192, 0.809, 0.750)
Cl (0.472, 0.173, 0.084)
Cl (0.473, 0.857, 0.584)
Cl (0.498, 0.192, 0.750)
Cl (0.502, 0.808, 0.250)
Cl (0.527, 0.143, 0.416)
Cl (0.528, 0.827, 0.916)
Cl (0.808, 0.191, 0.250)
Cl (0.808, 0.500, 0.750)
Cl (0.829, 0.142, 0.915)
Cl (0.830, 0.525, 0.415)
Cl (0.855, 0.171, 0.585)
Cl (0.857, 0.472, 0.084)

Output
- formation energy from raw total energies (eV/atom) = -1.971
- total energy (Ry per atom) = -0.310
- space group = P-1
- crystal system = triclinic

---

Entry from the Alexandria database: a relaxed NdThCuPt crystal (GGA-PBE).

abc: 4.384 6.020 6.020
angles: 37.85 90.00 90.00
Atoms (fractional coordinates):
Nd (0.000, 0.000, 0.000)
Th (0.500, 0.730, 0.730)
Cu (0.500, 0.437, 0.437)
Pt (0.000, 0.271, 0.271)

Output
- offset from the most stable computed form (meV/atom) = 0
- total energy (Ry per atom) = -0.461
- formation energy (kcal/mol of atoms) = -16.0
- space group = Amm2
- crystal system = orthorhombic

---

Entry from the Alexandria database: a relaxed Cd2GaPt2 crystal (GGA-PBE).

abc: 7.231 7.231 7.231
angles: 149.11 149.11 44.25
Atoms (fractional coordinates):
Cd (0.250, 0.750, 0.500)
Cd (0.750, 0.250, 0.500)
Ga (0.000, 0.000, 0.000)
Pt (0.404, 0.404, 0.000)
Pt (0.596, 0.596, 0.000)

Output
- offset from the most stable computed form (meV/atom) = 393
- total energy (Ry per atom) = -0.252
- formation energy (kcal/mol of atoms) = -0.9
- space group = I4/mmm
- crystal system = tetragonal

---

Entry from the Alexandria database: a relaxed Sr2AlBi crystal (GGA-PBE).

abc: 5.752 5.752 5.752
angles: 60.00 60.00 60.00
Atoms (fractional coordinates):
Sr (0.250, 0.250, 0.250)
Sr (0.750, 0.750, 0.750)
Al (0.000, 0.000, 0.000)
Bi (0.500, 0.500, 0.500)

Output
- offset from the most stable computed form (meV/atom) = 0
- total energy (Ry per atom) = -0.230
- formation energy (kcal/mol of atoms) = -8.8
- space group = Fm-3m
- crystal system = cubic

---

Entry from the Alexandria database: a relaxed PmErPa crystal (GGA-PBE).

abc: 3.436 3.436 8.614
angles: 90.00 90.00 120.00
Atoms (fractional coordinates):
Pm (0.000, 0.000, 0.000)
Er (0.333, 0.667, 0.638)
Pa (0.667, 0.333, 0.324)

Output
- offset from the most stable computed form (meV/atom) = 0
- total energy (Ry per atom) = -0.450
- formation energy (kcal/mol of atoms) = 3.2
- space group = P3m1
- crystal system = trigonal

---

Entry from the Alexandria database: a relaxed LiY2In crystal (GGA-PBE).

abc: 5.512 5.512 6.075
angles: 100.84 100.84 38.15
Atoms (fractional coordinates):
Li (0.000, 0.000, 0.000)
Y (0.244, 0.244, 0.739)
Y (0.756, 0.756, 0.261)
In (0.500, 0.500, 0.500)

Output
- total energy (Ry per atom) = -0.330
- formation energy (kcal/mol of atoms) = -2.3
- space group = C2/m
- crystal system = monoclinic